1.
Below is a relaxed Sr2SnB crystal, with properties calculated at the PBEsol level.

Unit cell a=5.3484 b=5.3484 c=5.3484 alpha=60.00 beta=60.00 gamma=60.00
Atoms (fractional coordinates):
1 Sr 0.2500 0.2500 0.2500
2 Sr 0.7500 0.7500 0.7500
3 B 0.0000 0.0000 0.0000
4 Sn 0.5000 0.5000 0.5000

Properties
Crystal system ... cubic
Symmetry ... No. 225

2.
Below is a relaxed LiZrW crystal, with properties calculated at the PBEsol level.

Unit cell a=3.3543 b=3.3543 c=4.9651 alpha=109.74 beta=109.74 gamma=90.00
Atoms (fractional coordinates):
1 Li 0.0083 0.0083 0.0166
2 W 0.6583 0.6583 0.3166
3 Zr 0.3334 0.3334 0.6668

Properties
Crystal system ... tetragonal
Symmetry ... No. 107

no.,energy (eV per atom)
1,-3.443
2,-7.753